Record 1
Ac2PmAs: optimized geometry, PBE.

Output
Magnetization in μB/cell: 0.000
Relative energy among the computed polymorphs in eV per formula unit: 0.56

Cell lengths 5.178, 5.178, 4.770 Å; angles 90.00, 90.00, 90.00 degrees
Space group P4/mmm (No. 123)
One atom of each set of equivalent atoms:
1 Ac 0.000 0.500 0.000 [2 per cell]
2 Pm 0.000 0.000 0.500 [1 per cell]
3 As 0.500 0.500 0.500 [1 per cell]

Record 2
CeY2Ho2: optimized geometry, PBE.

Output
DFT total energy in eV for the cell shown: -51.80
Magnetization in μB/cell: 3.576

Cell lengths 4.473, 4.473, 17.013 Å; angles 90.00, 90.00, 90.00 degrees
Space group I4/mmm (No. 139)
One atom of each set of equivalent atoms:
1 Ce 0.000 0.000 0.000 [2 per cell]
2 Y 0.000 0.000 0.405 [4 per cell]
3 Ho 0.000 0.500 0.250 [4 per cell]

Record 3
Pm2Y2Mg3: optimized geometry, PBE.

Output
Magnetization in μB/cell: 0.001
Relative energy among the computed polymorphs in eV per formula unit: 0.00

Cell lengths 3.791, 3.791, 28.264 Å; angles 90.00, 90.00, 90.00 degrees
Space group I4/mmm (No. 139)
One atom of each set of equivalent atoms:
1 Pm 0.000 0.000 0.069 [4 per cell]
2 Y 0.000 0.000 0.208 [4 per cell]
3 Mg 0.000 0.000 0.360 [4 per cell]
4 Mg 0.000 0.000 0.500 [2 per cell]

Record 4
CeY6HoTm2: optimized geometry, PBE.

Output
DFT total energy in eV for the cell shown: -226.75
Magnetization in μB/cell: 4.987

Cell lengths 9.193, 14.772, 9.607 Å; angles 90.00, 98.84, 90.00 degrees
Space group C2/c (No. 15)
One atom of each set of equivalent atoms:
1 Ce 0.000 0.092 0.250 [4 per cell]
2 Y 0.066 0.319 0.443 [8 per cell]
3 Y 0.094 0.105 0.616 [8 per cell]
4 Y 0.208 0.276 0.817 [8 per cell]
5 Ho 0.000 0.473 0.750 [4 per cell]
6 Tm 0.241 0.452 0.050 [8 per cell]

Record 5
Tb3MgS6: optimized geometry, PBE.

Output
Magnetization in μB/cell: 0.000
E_form (uncorrected) in eV/atom: -1.73

Cell lengths 10.745, 12.884, 6.741 Å; angles 90.00, 90.00, 90.00 degrees
Space group Cmc2_1 (No. 36)
One atom of each set of equivalent atoms:
1 Tb 0.000 0.101 0.000 [4 per cell]
2 Tb 0.181 0.399 0.089 [8 per cell]
3 Mg 0.000 0.302 0.613 [4 per cell]
4 S 0.000 0.274 0.254 [4 per cell]
5 S 0.000 0.469 0.795 [4 per cell]
6 S 0.164 0.033 0.292 [8 per cell]
7 S 0.172 0.230 0.810 [8 per cell]

Record 6
GaSiSb3: optimized geometry, PBE.

Output
Magnetization in μB/cell: 0.000
E_form (uncorrected) in eV/atom: 0.88
Relative energy among the computed polymorphs in eV per formula unit: 1.52

Cell lengths 5.272, 5.272, 5.272 Å; angles 90.00, 90.00, 90.00 degrees
Space group Pm-3m (No. 221)
One atom of each set of equivalent atoms:
1 Ga 0.000 0.000 0.000 [1 per cell]
2 Si 0.500 0.500 0.500 [1 per cell]
3 Sb 0.000 0.000 0.500 [3 per cell]

Record 7
LaCe14Pu: optimized geometry, PBE.

Output
DFT total energy in eV for the cell shown: -203.72
Magnetization in μB/cell: 9.023

Cell lengths 9.429, 9.452, 9.451 Å; angles 90.00, 90.00, 90.00 degrees
Space group Amm2 (No. 38)
One atom of each set of equivalent atoms:
1 La 0.000 0.000 0.000 [2 per cell]
2 Ce 0.000 0.250 0.250 [4 per cell]
3 Ce 0.252 0.000 0.252 [4 per cell]
4 Ce 0.252 0.000 0.747 [4 per cell]
5 Ce 0.252 0.248 0.500 [8 per cell]
6 Ce 0.500 0.000 0.500 [2 per cell]
7 Ce 0.500 0.000 0.999 [2 per cell]
8 Ce 0.500 0.250 0.250 [4 per cell]
9 Pu 0.000 0.000 0.499 [2 per cell]

Record 8
Zr2ScGeBr: optimized geometry, PBE.

Output
Magnetization in μB/cell: 0.000
E_form (uncorrected) in eV/atom: 0.84
Relative energy among the computed polymorphs in eV per formula unit: 2.79

Cell lengths 5.288, 5.288, 4.762 Å; angles 90.00, 90.00, 90.00 degrees
Space group P4/mmm (No. 123)
One atom of each set of equivalent atoms:
1 Zr 0.000 0.500 0.000 [2 per cell]
2 Sc 0.000 0.000 0.000 [1 per cell]
3 Ge 0.500 0.500 0.500 [1 per cell]
4 Br 0.000 0.000 0.500 [1 per cell]

Record 9
Pm2DyHoSe4: optimized geometry, PBE.

Output
Magnetization in μB/cell: 0.000
E_form (uncorrected) in eV/atom: -1.79

Cell lengths 7.096, 4.070, 7.292 Å; angles 90.00, 108.73, 90.00 degrees
Space group P2/m (No. 10)
One atom of each set of equivalent atoms:
1 Pm 0.000 0.000 0.000 [1 per cell]
2 Pm 0.500 0.500 0.000 [1 per cell]
3 Dy 0.000 0.500 0.500 [1 per cell]
4 Ho 0.500 0.000 0.500 [1 per cell]
5 Se 0.247 0.000 0.738 [2 per cell]
6 Se 0.255 0.500 0.263 [2 per cell]

Record 10
CdSnSbAu: optimized geometry, PBE.

Output
Magnetization in μB/cell: 0.000
E_form (uncorrected) in eV/atom: 0.02
Relative energy among the computed polymorphs in eV per formula unit: 0.00

Cell lengths 4.4529, 4.4529, 37.6277 Å; angles 90.00, 90.00, 120.00 degrees
Space group R-3m (No. 166, hexagonal axes)
One atom of each set of equivalent atoms:
1 Cd 0.0000 0.0000 0.1891 [6 per cell]
2 Sn 0.0000 0.0000 0.3897 [6 per cell]
3 Sb 0.0000 0.0000 0.1060 [6 per cell]
4 Au 0.0000 0.0000 0.3118 [6 per cell]

Record 11
Rb2SiHgAu: optimized geometry, PBE.

Output
Magnetization in μB/cell: 0.000
E_form (uncorrected) in eV/atom: -0.08
Relative energy among the computed polymorphs in eV per formula unit: 0.00

Cell lengths 6.770, 6.770, 4.631 Å; angles 90.00, 90.00, 90.00 degrees
Space group P4/mmm (No. 123)
One atom of each set of equivalent atoms:
1 Rb 0.000 0.500 0.000 [2 per cell]
2 Si 0.000 0.000 0.500 [1 per cell]
3 Hg 0.500 0.500 0.500 [1 per cell]
4 Au 0.000 0.000 0.000 [1 per cell]

Record 12
MgTe2PI: optimized geometry, PBE.

Output
Magnetization in μB/cell: 0.000
E_form (uncorrected) in eV/atom: 0.24
Relative energy among the computed polymorphs in eV per formula unit: 0.00

Cell lengths 5.370, 5.370, 5.307 Å; angles 90.00, 90.00, 90.00 degrees
Space group P4/mmm (No. 123)
One atom of each set of equivalent atoms:
1 Mg 0.000 0.000 0.000 [1 per cell]
2 Te 0.000 0.500 0.500 [2 per cell]
3 P 0.500 0.500 0.500 [1 per cell]
4 I 0.500 0.500 0.000 [1 per cell]

Record 13
NaTmSn: optimized geometry, PBE.

Output
Magnetization in μB/cell: 0.000
Relative energy among the computed polymorphs in eV per formula unit: 0.00

Cell lengths 7.219, 7.219, 7.219 Å; angles 90.00, 90.00, 90.00 degrees
Space group F-43m (No. 216)
One atom of each set of equivalent atoms:
1 Na 0.000 0.000 0.000 [4 per cell]
2 Tm 0.000 0.000 0.500 [4 per cell]
3 Sn 0.250 0.250 0.250 [4 per cell]

Record 14
MgRe2W: optimized geometry, PBE.

Output
DFT total energy in eV for the cell shown: -115.20
Magnetization in μB/cell: 0.000

Cell lengths 2.8129, 2.8129, 28.2140 Å; angles 90.00, 90.00, 120.00 degrees
Space group R3m (No. 160, hexagonal axes)
One atom of each set of equivalent atoms:
1 Mg 0.0000 0.0000 0.0000 [3 per cell]
2 Re 0.0000 0.0000 0.4949 [3 per cell]
3 Re 0.0000 0.0000 0.7525 [3 per cell]
4 W 0.0000 0.0000 0.2437 [3 per cell]